# MoIr3

MoIr3 at its PBEsol-relaxed geometry (meta-GGA SCAN, Alexandria).

Its spin magnetization is 0.00 μB per cell. The density is 19.6 g/cm³. As for the energy: -62.33 eV/atom. Its formation enthalpy at 0 K is -6.52 kcal/mol of atoms. Its polymorph energy (0 for the lowest one) is 77 meV/atom.

It has space group Pmm2 (No. 25), with a = 2.746 Å, b = 4.361 Å, c = 4.759 Å, α = 90.00°, β = 90.00° and γ = 90.00°. The inequivalent atoms are Mo at (0.000, 0.000, 0.000), Ir at (0.000, 0.500, 0.668), Ir at (0.500, 0.000, 0.509) and Ir at (0.500, 0.500, 0.173).

=====

# TaZn2Se

TaZn2Se at its PBEsol-relaxed geometry (meta-GGA SCAN, Alexandria).

Its spin magnetization is 0.00 μB per cell. The value obtained for the raw formation energy is 260 meV/atom. The density is 10.0 g/cm³. As for the energy: -28.16 eV/atom.

It has space group P2/m (No. 10), with a = 2.854 Å, b = 4.765 Å, c = 4.905 Å, α = 90.00°, β = 103.92° and γ = 90.00°. The inequivalent atoms are Ta at (0.000, 0.000, 0.000), Zn at (0.351, 0.500, 0.750) and Se at (0.500, 0.000, 0.500).

=====

# DyB3Mo

DyB3Mo at its PBEsol-relaxed geometry (meta-GGA SCAN, Alexandria).

Its spin magnetization is 0.00 μB per cell. The density is 8.6 g/cm³. As for the energy: -21.64 eV/atom. Its formation enthalpy at 0 K is -14.96 kcal/mol of atoms.

It has space group P2_1/m (No. 11), with a = 5.407 Å, b = 3.142 Å, c = 6.773 Å, α = 90.00°, β = 102.09° and γ = 90.00°. The inequivalent atoms are Dy at (0.176, 0.250, 0.209), B at (0.083, 0.750, 0.494), B at (0.413, 0.750, 0.496), B at (0.418, 0.750, 0.974) and Mo at (0.311, 0.250, 0.719).

=====

# K2InTe

K2InTe at its PBEsol-relaxed geometry (meta-GGA SCAN, Alexandria).

Its spin magnetization is 0.00 μB per cell. The value obtained for the raw formation energy is -607 meV/atom. The density is 3.6 g/cm³. As for the energy: -22.43 eV/atom. Its polymorph energy (0 for the lowest one) is 0 meV/atom.

It has space group Imm2 (No. 44), with a = 4.322 Å, b = 5.530 Å, c = 12.272 Å, α = 90.00°, β = 90.00° and γ = 90.00°. The inequivalent atoms are K at (0.000, 0.000, 0.000), K at (0.000, 0.500, 0.207), In at (0.000, 0.000, 0.421) and Te at (0.000, 0.500, 0.751).

=====

# FeCu2Si

FeCu2Si at its PBEsol-relaxed geometry (meta-GGA SCAN, Alexandria).

Its spin magnetization is 3.87 μB per cell. The value obtained for the raw formation energy is -49 meV/atom. The density is 7.8 g/cm³. As for the energy: -14.68 eV/atom.

It has space group Amm2 (No. 38), with a = 3.679 Å, b = 2.540 Å, c = 9.616 Å, α = 90.00°, β = 90.00° and γ = 90.00°. The inequivalent atoms are Fe at (0.000, 0.000, 0.000), Cu at (0.000, 0.000, 0.262), Cu at (0.500, 0.000, 0.658) and Si at (0.500, 0.000, 0.414).

=====

# Y2ZrTlC

Y2ZrTlC at its PBEsol-relaxed geometry (meta-GGA SCAN, Alexandria).

Its spin magnetization is 2.32 μB per cell. The density is 7.2 g/cm³. As for the energy: -33.60 eV/atom. Its formation enthalpy at 0 K is 3.95 kcal/mol of atoms.

It has space group P4/mmm (No. 123), with a = 4.766 Å, b = 4.766 Å, c = 4.900 Å, α = 90.00°, β = 90.00° and γ = 90.00°. The inequivalent atoms are Y at (0.000, 0.500, 0.000), Zr at (0.000, 0.000, 0.500), Tl at (0.500, 0.500, 0.500) and C at (0.500, 0.500, 0.000).